This record from Alexandria via LeMat-Bulk describes an optimized crystal structure of YHoMnGa. The functional is GGA-PBE.

Unit cell a=7.123 b=7.123 c=7.123 alpha=90.00 beta=90.00 gamma=90.00
Fractional coordinates of all 16 atoms:
Y 0.000 0.000 0.000
Y 0.000 0.500 0.500
Y 0.500 0.000 0.500
Y 0.500 0.500 0.000
Ho 0.000 0.000 0.500
Ho 0.000 0.500 0.000
Ho 0.500 0.000 0.000
Ho 0.500 0.500 0.500
Mn 0.250 0.250 0.750
Mn 0.250 0.750 0.250
Mn 0.750 0.250 0.250
Mn 0.750 0.750 0.750
Ga 0.250 0.250 0.250
Ga 0.250 0.750 0.750
Ga 0.750 0.250 0.750
Ga 0.750 0.750 0.250



This record from Alexandria via LeMat-Bulk describes an optimized crystal structure of Dy2Be4Ge3Ru. The functional is GGA-PBE.

Unit cell a=3.860 b=3.860 c=10.048 alpha=90.00 beta=90.00 gamma=90.00
Fractional coordinates of all 10 atoms:
Dy 0.000 0.500 0.249
Dy 0.500 0.000 0.751
Be 0.000 0.000 0.500
Be 0.000 0.500 0.866
Be 0.500 0.000 0.134
Be 0.500 0.500 0.500
Ge 0.000 0.000 0.000
Ge 0.000 0.500 0.634
Ge 0.500 0.000 0.366
Ru 0.500 0.500 0.000



The records above give, respectively, raw total energy values of -5.978 -5.144 eV/atom.